Entry from Alexandria via LeMat-Bulk: a relaxed structure of Sr2MgCl (GGA-PBE).

Unit cell a=4.6509 b=4.6812 c=6.9776 alpha=90.00 beta=90.00 gamma=90.00
With the nearest neighbours (Å) after each atom.
Space group Pmm2 (No. 25)
Symmetry-distinct sites (fractional):
Sr 0.0000 0.0000 0.0000 (multiplicity 1)  4 Cl 3.30, 2 Mg 3.41-3.57
Sr 0.5000 0.5000 0.4503 (multiplicity 1)  1 Cl 3.03, 4 Mg 3.33
Mg 0.0000 0.0000 0.5117 (multiplicity 1)  6 Sr 3.33-3.57
Cl 0.5000 0.5000 0.0154 (multiplicity 1)  5 Sr 3.03-3.30

## Properties
relative energy among the computed polymorphs	0.131	eV per atom
energy	-0.089	Ha/atom
energy relative to the elements, uncorrected	-0.709	eV per atom

=====

Entry from Alexandria via LeMat-Bulk: a relaxed structure of Sr2MgCl (GGA-PBE).

Unit cell a=3.9063 b=3.9063 c=10.9681 alpha=90.00 beta=90.00 gamma=90.00
With the nearest neighbours (Å) after each atom.
Space group P4mm (No. 99)
Symmetry-distinct sites (fractional):
Sr 0.0000 0.0000 0.0000 (multiplicity 1)  4 Mg 3.63, 4 Sr 3.91
Sr 0.5000 0.5000 0.3120 (multiplicity 1)  4 Cl 3.05
Mg 0.5000 0.5000 0.7852 (multiplicity 1)  4 Sr 3.63, 4 Mg 3.91
Cl 0.0000 0.0000 0.4291 (multiplicity 1)  4 Sr 3.05

## Properties
relative energy among the computed polymorphs	0.171	eV per atom
energy	-0.087	Ha/atom
energy relative to the elements, uncorrected	-0.669	eV per atom

=====

Entry from Alexandria via LeMat-Bulk: a relaxed structure of SrMg2Cl (GGA-PBE).

Unit cell a=10.6336 b=3.8345 c=6.4515 alpha=90.00 beta=112.76 gamma=90.00
With the nearest neighbours (Å) after each atom.
Space group Cm (No. 8)
Symmetry-distinct sites (fractional):
Sr 0.0000 0.0000 0.0000 (multiplicity 2)  3 Cl 2.99-3.02
Mg 0.1990 0.0000 0.5891 (multiplicity 2)  3 Mg 3.02-3.13, 2 Cl 3.24
Mg 0.4485 0.0000 0.4741 (multiplicity 2)  3 Mg 3.02-3.13
Cl 0.2172 0.5000 0.0043 (multiplicity 2)  3 Sr 2.99-3.02, 2 Mg 3.24

## Properties
relative energy among the computed polymorphs	0.106	eV per atom
energy	-0.083	Ha/atom
energy relative to the elements, uncorrected	-0.580	eV per atom

=====

Entry from Alexandria via LeMat-Bulk: a relaxed structure of SrMg2Cl (GGA-PBE).

Unit cell a=3.5624 b=3.5624 c=9.2006 alpha=90.00 beta=90.00 gamma=90.00
With the nearest neighbours (Å) after each atom.
Space group P4/mmm (No. 123)
Symmetry-distinct sites (fractional):
Sr 0.0000 0.0000 0.0000 (multiplicity 1)  4 Sr 3.56, 8 Mg 3.65
Mg 0.5000 0.5000 0.2868 (multiplicity 2)  4 Cl 3.19, 4 Mg 3.56
Cl 0.0000 0.0000 0.5000 (multiplicity 1)  8 Mg 3.19, 4 Cl 3.56

## Properties
relative energy among the computed polymorphs	0.294	eV per atom
energy	-0.076	Ha/atom
energy relative to the elements, uncorrected	-0.392	eV per atom

=====

Entry from Alexandria via LeMat-Bulk: a relaxed structure of SrMg2Cl6 (GGA-PBE).

Unit cell a=13.2372 b=4.8887 c=8.7586 alpha=90.00 beta=102.09 gamma=90.00
With the nearest neighbours (Å) after each atom.
Space group C2/m (No. 12)
Symmetry-distinct sites (fractional):
Sr 0.0000 0.0000 0.0000 (multiplicity 2)  6 Cl 2.85-3.03
Mg 0.2365 0.0000 0.6658 (multiplicity 4)  5 Cl 2.32-2.54
Cl 0.0710 0.0000 0.7145 (multiplicity 4)  1 Mg 2.32
Cl 0.1331 0.5000 0.0958 (multiplicity 4)  1 Mg 2.41
Cl 0.2260 0.0000 0.3761 (multiplicity 4)  3 Mg 2.51-2.54

## Properties
relative energy among the computed polymorphs	0.061	eV per atom
energy	-0.138	Ha/atom
energy relative to the elements, uncorrected	-1.993	eV per atom

=====

Entry from Alexandria via LeMat-Bulk: a relaxed structure of Sr2MgCl (GGA-PBE).

Unit cell a=3.9642 b=4.3243 c=8.9119 alpha=90.00 beta=90.00 gamma=90.00
With the nearest neighbours (Å) after each atom.
Space group Pmmm (No. 47)
Symmetry-distinct sites (fractional):
Sr 0.0000 0.0000 0.2388 (multiplicity 2)  2 Cl 3.06
Mg 0.5000 0.5000 0.0000 (multiplicity 1)  8 Sr 3.62, 2 Mg 3.96
Cl 0.5000 0.0000 0.5000 (multiplicity 1)  4 Sr 3.06

## Properties
relative energy among the computed polymorphs	0.000	eV per atom
energy	-0.093	Ha/atom
energy relative to the elements, uncorrected	-0.840	eV per atom